Zr3In: optimized geometry, PBE-GGA.

Properties
D(E_F) ... 1.248 states/eV/atom
V ... 22.7 Å³/atom
Calculated formation energy ... -0.13 eV per atom
Space group ... Cmmm (65)

abc: 6.372 9.050 3.152
angles: 90.00 90.00 90.00
Element x y z (fractional)
Zr1 0.000 0.000 0.000
Zr2 0.250 0.250 0.500
Zr3 0.250 0.750 0.500
Zr4 0.500 0.500 0.000
Zr5 0.750 0.250 0.500
Zr6 0.750 0.750 0.500
In1 0.000 0.500 0.000
In2 0.500 0.000 0.000